4
Lattice="-1.487 2.231 4.395 1.487 -2.231 4.395 1.487 2.231 -4.395" Properties=species:S:1:pos:R:3 comment="Cr2CdTc PBE optimized geometry" crystal_system=orthorhombic vol_a3_per_cell=58 dos_ef_per_ev_atom=1.100 ef_kj_per_mol_atoms=41 m_tot_mub_per_fu=0.22 pbc="T T T"
Cr 0.000 0.000 0.000
Cr 0.000 2.231 2.530
Cd 0.000 0.000 4.551
Tc 1.487 0.000 2.096



4
Lattice="4.418 0.000 0.000 0.000 3.331 0.000 -1.602 0.000 5.312" Properties=species:S:1:pos:R:3 comment="TaHg2P PBE optimized geometry" crystal_system=monoclinic vol_a3_per_cell=78 dos_ef_per_ev_atom=0.616 ef_kj_per_mol_atoms=44 m_tot_mub_per_fu=0.00 pbc="T T T"
Ta 0.000 0.000 0.000
Hg -0.801 1.666 2.656
Hg 1.408 0.000 2.656
P 2.209 1.666 0.000



12
Lattice="6.115 0.000 0.000 0.000 7.626 0.000 -0.004 0.000 10.672" Properties=species:S:1:pos:R:3 comment="Ac4LaY PBE optimized geometry" crystal_system=monoclinic vol_a3_per_cell=498 dos_ef_per_ev_atom=1.581 relative_energy_ev_per_atom=0.000 ef_kj_per_mol_atoms=6 m_tot_mub_per_fu=0.00 pbc="T T T"
Ac 1.528 0.009 2.598
Ac 1.525 1.907 6.162
Ac 1.527 1.907 9.829
Ac 1.528 3.805 2.598
Ac 4.583 3.822 8.073
Ac 4.584 5.720 0.843
Ac 4.586 5.720 4.510
Ac 4.583 7.618 8.073
La 1.530 5.720 6.293
La 4.581 1.907 4.379
Y 1.523 5.720 9.719
Y 4.588 1.907 0.953